(1)
Density functional theory data (GGA-PBE) for a relaxed Dy5AlGa4 crystal.

Cell lengths 3.568, 3.568, 17.974 Å; angles 90.00, 90.00, 90.00 degrees
Fractional coordinates of all 10 atoms:
Dy 0.000 0.000 0.000
Dy 0.000 0.000 0.199
Dy 0.000 0.000 0.398
Dy 0.000 0.000 0.602
Dy 0.000 0.000 0.801
Al 0.500 0.500 0.500
Ga 0.500 0.500 0.100
Ga 0.500 0.500 0.299
Ga 0.500 0.500 0.701
Ga 0.500 0.500 0.900

Properties
Formation energy = -545 meV/atom
Total magnetization = 0.00 μB per formula unit
Space-group type = No. 123
Crystal system = tetragonal

=====

(2)
Density functional theory data (GGA-PBE) for a relaxed Dy6AlGa2 crystal.

Cell lengths 8.577, 8.577, 8.577 Å; angles 112.01, 111.76, 104.75 degrees
Fractional coordinates of all 18 atoms:
Dy 0.027 0.822 0.205
Dy 0.242 0.545 0.303
Dy 0.242 0.939 0.697
Dy 0.274 0.319 0.593
Dy 0.274 0.681 0.954
Dy 0.383 0.178 0.205
Dy 0.617 0.822 0.795
Dy 0.726 0.319 0.046
Dy 0.726 0.681 0.407
Dy 0.758 0.061 0.303
Dy 0.758 0.455 0.697
Dy 0.973 0.178 0.795
Al 0.000 0.500 0.500
Al 0.500 0.000 0.500
Ga 0.000 0.150 0.150
Ga 0.000 0.850 0.850
Ga 0.379 0.379 0.000
Ga 0.621 0.621 0.000

Properties
Formation energy = -391 meV/atom
Total magnetization = 0.00 μB per formula unit
Space-group type = No. 71
Crystal system = orthorhombic

=====

(3)
Density functional theory data (GGA-PBE) for a relaxed Dy2AlGa3 crystal.

Cell lengths 8.651, 8.421, 5.788 Å; angles 72.34, 68.05, 39.61 degrees
Fractional coordinates of all 12 atoms:
Dy 0.247 0.753 0.753
Dy 0.250 0.250 0.250
Dy 0.750 0.750 0.750
Dy 0.753 0.247 0.247
Al 0.334 0.334 0.666
Al 0.666 0.666 0.334
Ga 0.167 0.167 0.833
Ga 0.168 0.666 0.334
Ga 0.334 0.832 0.168
Ga 0.666 0.168 0.832
Ga 0.832 0.334 0.666
Ga 0.833 0.833 0.167

Properties
Formation energy = -598 meV/atom
Total magnetization = 0.00 μB per formula unit
Space-group type = No. 69
Crystal system = orthorhombic

=====

(4)
Density functional theory data (GGA-PBE) for a relaxed Dy3Al2Ga crystal.

Cell lengths 3.572, 3.572, 10.884 Å; angles 90.00, 90.00, 90.00 degrees
Fractional coordinates of all 6 atoms:
Dy 0.000 0.000 0.000
Dy 0.000 0.000 0.336
Dy 0.000 0.000 0.664
Al 0.500 0.500 0.167
Al 0.500 0.500 0.833
Ga 0.500 0.500 0.500

Properties
Formation energy = -457 meV/atom
Total magnetization = 0.00 μB per formula unit
Space-group type = No. 123
Crystal system = tetragonal